The following is a SCAN calculation of a crystal of ZrCuAg relaxed with PBEsol, from Alexandria via LeMat-Bulk.

Lattice parameters (Å, degrees): 3.0552 3.7349 8.6962 90.00 90.00 90.00
Space group Imm2 (No. 44)
Inequivalent atoms, fractional coordinates:
Zr (0.0000, 0.0000, 0.0000) (multiplicity 2)
Cu (0.0000, 0.0000, 0.3337) (multiplicity 2)
Ag (0.0000, 0.0000, 0.6816) (multiplicity 2)

Properties
**DOS at the Fermi energy**: 1.45 states/eV/f.u.
**Calculated density**: 8.79 g/cm³
**Distance to the lowest polymorph of the same formula**: 0.06 eV per formula unit
**Energy of formation**: -85 meV per atom